A plane-wave DFT calculation with GGA-PBE was carried out for an optimized crystal structure of La6NiIr2.

Summary:
For the formation energy from the elements, the calculation gives -473 meV/atom. As for the total energy: -6.37 eV/atom.

a b c (Å): 6.931 7.455 10.537
angles (deg): 90.00 86.09 90.00
Atoms (fractional coordinates):
La 0.169 0.058 0.250
La 0.178 0.322 0.587
La 0.176 0.322 0.935
La 0.324 0.822 0.565
La 0.322 0.822 0.913
La 0.331 0.558 0.250
La 0.831 0.942 0.750
La 0.822 0.678 0.413
La 0.824 0.678 0.065
La 0.676 0.178 0.435
La 0.678 0.178 0.087
La 0.669 0.442 0.750
Ni 0.500 0.500 0.000
Ni 0.000 0.000 0.500
Ir 0.045 0.614 0.784
Ir 0.455 0.114 0.716
Ir 0.545 0.886 0.284
Ir 0.955 0.386 0.216